Record 1
Compound: ZrTi2Co2
Source: the Alexandria database
Functional: GGA-PBE
Structure: optimized geometry

a = 5.6023 Å, b = 5.6023 Å, c = 5.6023 Å
α = 137.47°, β = 137.47°, γ = 61.72°
Fractional positions:
Zr 0.0000 0.0000 0.0000
Ti 0.2500 0.7500 0.5000
Ti 0.7500 0.2500 0.5000
Co 0.3857 0.3857 0.0000
Co 0.6143 0.6143 0.0000

Output
Uncorrected energy in eV per atom: -7.970
Space-group type: I4/mmm, No. 139
Energy relative to the lowest polymorph listed for this composition in kJ per mole of atoms: 0.0
Formation energy from the elements in eV/atom: -0.260


Record 2
Compound: CdRh
Source: the Alexandria database
Functional: GGA-PBE
Structure: optimized geometry

a = 4.5860 Å, b = 4.5860 Å, c = 5.3519 Å
α = 90.00°, β = 90.00°, γ = 120.00°
Fractional positions:
Cd 0.3333 0.6667 0.2500
Cd 0.6667 0.3333 0.7500
Rh 0.3333 0.6667 0.7500
Rh 0.6667 0.3333 0.2500

Output
Uncorrected energy in eV per atom: -3.347
Space-group type: P6_3/mmc, No. 194
Formation energy from the elements in eV/atom: 0.786


Record 3
Compound: InRePb2
Source: the Alexandria database
Functional: GGA-PBE
Structure: optimized geometry

a = 7.4668 Å, b = 7.4668 Å, c = 7.4668 Å
α = 155.53°, β = 143.33°, γ = 44.58°
Fractional positions:
In 0.0000 0.0000 0.0000
Re 0.8213 0.3213 0.5000
Pb 0.3195 0.8195 0.5000
Pb 0.6327 0.6327 0.0000

Output
Uncorrected energy in eV per atom: -5.006
Space-group type: Imm2, No. 44
Energy relative to the lowest polymorph listed for this composition in kJ per mole of atoms: 12.5
Formation energy from the elements in eV/atom: 0.645


Q: Among the records above, which one has the highest formation energy from the elements?
A: CdRh